Record 1
The following is a DFT calculation (PBE) of a geometry-optimized PmAgAs structure.

Space group   F-43m
Theoretical density   7.28 g/cm3
Total magnetization   0.00 μB per formula unit
Fermi-level density of states   0.60 states/eV/atom
ΔH_f (0 K)   -172 kJ/mol of formula units

POSCAR file:
```
PmAgAs
1.0
4.730 0.000 0.000
2.365 4.096 0.000
2.365 1.365 3.862
As Ag Pm
1 1 1
Cartesian
2.365 1.365 0.965
0.000 0.000 0.000
4.730 2.731 1.931
```

=====

Record 2
The following is a DFT calculation (PBE) of a geometry-optimized PmAgAs structure.

Space group   P3m1
Theoretical density   7.92 g/cm3
Total magnetization   0.00 μB per formula unit
Fermi-level density of states   0.75 states/eV/atom
ΔH_f (0 K)   -210 kJ/mol of formula units

POSCAR file:
```
PmAgAs
1.0
4.071 0.000 0.000
0.000 4.416 0.000
0.000 -2.208 3.824
As Ag Pm
1 1 1
Cartesian
0.671 0.000 0.000
0.686 0.000 2.549
2.714 2.208 1.275
```

=====

Record 3
The following is a DFT calculation (PBE) of a geometry-optimized PmPrAgAs structure.

Space group   F-43m
Theoretical density   7.69 g/cm3
Total magnetization   0.00 μB per formula unit
Fermi-level density of states   1.00 states/eV/atom
ΔH_f (0 K)   -251 kJ/mol of formula units

POSCAR file:
```
PmPrAgAs
1.0
5.230 0.000 0.000
2.615 4.529 0.000
2.615 1.510 4.270
Pr As Ag Pm
1 1 1 1
Cartesian
2.615 1.510 1.068
5.230 3.020 2.135
0.000 0.000 0.000
7.845 4.529 3.203
```

=====

- The lowest theoretical density belongs to which entry?
  number 1

=====

- Among the records above, which one has the highest ΔH_f (0 K)?
  number 1

=====

Please write out number 1 again, unchanged.
The following is a DFT calculation (PBE) of a geometry-optimized PmAgAs structure.

Space group   F-43m
Theoretical density   7.28 g/cm3
Total magnetization   0.00 μB per formula unit
Fermi-level density of states   0.60 states/eV/atom
ΔH_f (0 K)   -172 kJ/mol of formula units

POSCAR file:
```
PmAgAs
1.0
4.730 0.000 0.000
2.365 4.096 0.000
2.365 1.365 3.862
As Ag Pm
1 1 1
Cartesian
2.365 1.365 0.965
0.000 0.000 0.000
4.730 2.731 1.931
```

=====

- ΔH_f (0 K) of number 1 (PmAgAs)?
  -172 kJ/mol of formula units